10
Lattice="-2.828 -6.528 1.707 5.344 -3.297 -3.755 1.642 -0.082 2.408" Properties=species:S:1:pos:R:3 comment="CdCu2Pd2 (PBE, relaxed)" e_above_lowest_polymorph_ev_per_atom=0.038 formation_energy_mev_per_atom=-83 magmom_total_mub_per_fu=0.0 dos_at_fermi_per_ev_cell=3.78 pbc="T T T"
Pd 1.546 -2.094 -1.125
Pd 0.969 -7.731 -0.923
Pd -1.068 -4.617 0.571
Pd 3.583 -5.208 -2.619
Cu 3.889 -3.239 -0.996
Cu 0.695 -2.795 1.196
Cu 3.462 -7.111 -0.836
Cu 0.268 -6.668 1.356
Cd 0.000 0.000 0.000
Cd 1.258 -4.913 -1.024